Entry 1:
## BeSiSe (GGA-PBE)

Data for crystalline BeSiSe at its relaxed geometry.

abc: 6.1755 5.8263 3.3554
angles: 79.59 68.11 32.30
Sites, in units of the cell vectors:
Si 0.6163 0.6163 0.3837
Se 0.3897 0.3897 0.6103
Be 0.9940 0.9940 0.0060

Results
- E above lowest polymorph: 752 meV/atom
- ΔE_f (raw): 0.35 eV/atom

---

Entry 2:
## SrTcAg2Pt (GGA-PBE)

Data for crystalline SrTcAg2Pt at its relaxed geometry.

abc: 5.3981 5.2529 5.3981
angles: 90.00 90.00 90.00
Each line ends with the local moment (μB).
Sites, in units of the cell vectors:
Ag 0.0000 0.0000 0.5000  -0.04
Ag 0.5000 0.0000 0.0000  -0.04
Tc 0.5000 0.5000 0.5000  3.76
Pt 0.0000 0.5000 0.0000  -0.01
Sr 0.0000 0.0000 0.0000  -0.03

Results
- E above lowest polymorph: 1308 meV/atom
- Energy of formation from the pure elements: 1748.3 meV per atom

---

Entry 3:
## LiPt4 (GGA-PBE)

Data for crystalline LiPt4 at its relaxed geometry.

abc: 6.8086 6.8086 6.8086
angles: 147.71 147.71 46.31
Sites, in units of the cell vectors:
Pt 0.4032 0.4032 0.0000
Pt 0.5968 0.5968 0.0000
Pt 0.7500 0.2500 0.5000
Pt 0.2500 0.7500 0.5000
Li 0.0000 0.0000 0.0000

Results
- E above lowest polymorph: 380 meV/atom
- Energy of formation from the pure elements: 91.0 meV per atom

---

Entry 4:
## HgGe2Te (GGA-PBE)

Data for crystalline HgGe2Te at its relaxed geometry.

abc: 5.1392 5.1392 5.1392
angles: 60.00 60.00 60.00
Sites, in units of the cell vectors:
Ge 0.7500 0.7500 0.7500
Ge 0.2500 0.2500 0.2500
Te 0.0000 0.0000 0.0000
Hg 0.5000 0.5000 0.5000

Results
- E above lowest polymorph: 100 meV/atom
- ΔE_f (raw): 0.32 eV/atom

---

Entry 5:
## CuTeOs3 (GGA-PBE)

Data for crystalline CuTeOs3 at its relaxed geometry.

abc: 4.5043 4.5043 4.5043
angles: 90.00 90.00 90.00
Sites, in units of the cell vectors:
Os 0.0000 0.0000 0.5000
Os 0.5000 0.0000 0.0000
Os 0.0000 0.5000 0.0000
Cu 0.0000 0.0000 0.0000
Te 0.5000 0.5000 0.5000

Results
- E above lowest polymorph: 0 meV/atom
- ΔE_f (raw): 2.02 eV/atom

---

Entry 6:
## MoIrPd (GGA-PBE)

Data for crystalline MoIrPd at its relaxed geometry.

abc: 2.7831 2.7831 6.2090
angles: 102.95 102.95 90.00
Sites, in units of the cell vectors:
Mo 0.6725 0.6725 0.3450
Ir 0.3251 0.3251 0.6501
Pd 0.0024 0.0024 0.0048

Results
- E above lowest polymorph: 6 meV/atom
- Energy of formation from the pure elements: -121.0 meV per atom

---

Entry 7:
## Re3Mo (GGA-PBE)

Data for crystalline Re3Mo at its relaxed geometry.

abc: 2.7750 4.8335 4.8226
angles: 99.48 90.00 106.68
Sites, in units of the cell vectors:
Re 0.2454 0.4907 0.7447
Re 0.5000 0.0000 0.5000
Re 0.7546 0.5093 0.2553
Mo 0.0000 0.0000 0.0000

Results
- E above lowest polymorph: 35 meV/atom
- Energy of formation from the pure elements: 122.9 meV per atom

---

Entry 8:
## Zn3Pt4 (GGA-PBE)

Data for crystalline Zn3Pt4 at its relaxed geometry.

abc: 13.3954 13.3954 13.3954
angles: 167.91 167.91 17.13
Sites, in units of the cell vectors:
Zn 0.7119 0.7119 0.0000
Zn 0.0000 0.0000 0.0000
Zn 0.2881 0.2881 0.0000
Pt 0.4321 0.4321 0.0000
Pt 0.5679 0.5679 0.0000
Pt 0.1459 0.1459 0.0000
Pt 0.8541 0.8541 0.0000

Results
- E above lowest polymorph: 0 meV/atom
- Energy of formation from the pure elements: -332.5 meV per atom

---

Entry 9:
## InRe2Os (GGA-PBE)

Data for crystalline InRe2Os at its relaxed geometry.

abc: 2.8241 2.8241 8.0848
angles: 90.00 90.00 90.00
Sites, in units of the cell vectors:
In 0.5000 0.5000 0.2500
Re 0.0000 0.0000 0.9768
Re 0.0000 0.0000 0.5232
Os 0.5000 0.5000 0.7500

Results
- Energy of formation from the pure elements: 378.1 meV per atom

---

Entry 10:
## CsMn2Te4Au (GGA-PBE)

Data for crystalline CsMn2Te4Au at its relaxed geometry.

abc: 5.2877 7.7697 7.7697
angles: 83.10 70.11 70.11
Each line ends with the local moment (μB).
Sites, in units of the cell vectors:
Mn 0.9063 0.5937 0.5937  1.43
Mn 0.0937 0.4063 0.4063  1.43
Au 0.5000 0.5000 0.5000  0.00
Te 0.5690 0.4755 0.8514  -0.06
Te 0.4310 0.1486 0.5245  -0.06
Te 0.1041 0.8514 0.4755  -0.06
Te 0.8959 0.5245 0.1486  -0.06
Cs 0.0000 0.0000 0.0000  0.00

Results
- ΔE_f (raw): 0.06 eV/atom

---

Entry 11:
## CaSm3Tm2Se6 (GGA-PBE)

Data for crystalline CaSm3Tm2Se6 at its relaxed geometry.

abc: 7.0674 7.0674 7.2535
angles: 99.30 99.30 120.02
Sites, in units of the cell vectors:
Se 0.0795 0.4177 0.2393
Se 0.4177 0.0795 0.2393
Se 0.9205 0.5823 0.7607
Se 0.7402 0.7402 0.2336
Se 0.5823 0.9205 0.7607
Se 0.2598 0.2598 0.7664
Tm 0.3331 0.6669 0.0000
Tm 0.6669 0.3331 0.0000
Ca 0.0000 0.0000 0.0000
Sm 0.8374 0.1626 0.5000
Sm 0.1626 0.8374 0.5000
Sm 0.5000 0.5000 0.5000

Results
- ΔE_f (raw): -1.79 eV/atom

---

Entry 12:
## K2LaTaO6 (GGA-PBE)

Data for crystalline K2LaTaO6 at its relaxed geometry.

abc: 6.2185 6.2181 8.7958
angles: 90.00 90.01 90.00
Each line ends with the local moment (μB).
Sites, in units of the cell vectors:
La 0.5000 0.0000 0.0000  -0.02
La 0.0000 0.5000 0.5000  -0.02
O 0.2265 0.2722 0.0023  0.30
O 0.2278 0.7266 0.0022  0.30
O 0.7735 0.7278 0.9977  0.30
O 0.2735 0.7722 0.4977  0.30
O 0.7265 0.2278 0.5023  0.30
O 0.7722 0.2734 0.9978  0.30
O 0.5044 0.0000 0.2729  0.30
O 0.9956 0.5000 0.2271  0.30
O 0.2722 0.2266 0.4978  0.30
O 0.7278 0.7734 0.5022  0.30
O 0.0044 0.5000 0.7729  0.30
O 0.4956 0.0000 0.7271  0.30
Ta 0.0000 0.5000 0.0000  -0.10
Ta 0.5000 0.0000 0.5000  -0.10
K 0.5001 0.5001 0.7500  0.00
K 0.4999 0.4999 0.2500  0.00
K 0.9999 0.0001 0.7500  0.00
K 0.0001 0.9999 0.2500  0.00

Results
- ΔE_f (raw): -2.30 eV/atom

---

Entry 13:
## La4InCl4 (GGA-PBE)

Data for crystalline La4InCl4 at its relaxed geometry.

abc: 5.8429 7.3543 7.3543
angles: 80.92 66.59 66.59
Sites, in units of the cell vectors:
La 0.0945 0.5849 0.2261
La 0.9055 0.4151 0.7739
La 0.6794 0.2261 0.4151
La 0.3206 0.7739 0.5849
Cl 0.6110 0.6037 0.1743
Cl 0.2147 0.1743 0.3963
Cl 0.7853 0.8257 0.6037
Cl 0.3890 0.3963 0.8257
In 0.0000 0.0000 0.0000

Results
- ΔE_f (raw): -1.35 eV/atom

---

Entry 14:
## Nd2Pd8Pt (GGA-PBE)

Data for crystalline Nd2Pd8Pt at its relaxed geometry.

abc: 5.4695 8.6193 8.6193
angles: 37.17 57.98 57.98
Sites, in units of the cell vectors:
Pd 0.7222 0.5841 0.5841
Pd 0.1545 0.7440 0.7440
Pd 0.2778 0.4159 0.4159
Pd 0.8455 0.2560 0.2560
Pd 0.2162 0.8255 0.3407
Pd 0.2162 0.3407 0.8255
Pd 0.7838 0.1745 0.6593
Pd 0.7838 0.6593 0.1745
Nd 0.4584 0.1855 0.1855
Nd 0.5416 0.8145 0.8145
Pt 0.0000 0.0000 0.0000

Results
- Energy of formation from the pure elements: -447.2 meV per atom

---

Entry 15:
## BiSbTeC2 (GGA-PBE)

Data for crystalline BiSbTeC2 at its relaxed geometry.

abc: 4.4325 5.8952 4.4325
angles: 90.00 90.00 90.00
Each line ends with the local moment (μB).
Sites, in units of the cell vectors:
C 0.0000 0.0000 0.5000  0.48
C 0.5000 0.0000 0.0000  0.53
Sb 0.0000 0.5000 0.0000  0.05
Bi 0.5000 0.5000 0.5000  -0.13
Te 0.0000 0.0000 0.0000  -0.03

Results
- ΔE_f (raw): 2.16 eV/atom

---

Entry 16:
## K3Tm3TcO8 (GGA-PBE)

Data for crystalline K3Tm3TcO8 at its relaxed geometry.

abc: 6.6762 6.6762 7.3657
angles: 116.96 90.00 120.00
Each line ends with the local moment (μB).
Sites, in units of the cell vectors:
O 0.2130 0.9596 0.6726  0.07
O 0.2131 0.4261 0.6726  0.07
O 0.2734 0.5468 0.3203  0.00
O 0.2534 0.0404 0.3274  0.07
O 0.7466 0.9596 0.6726  0.07
O 0.7869 0.5739 0.3274  0.07
O 0.7870 0.0404 0.3274  0.07
O 0.7266 0.4532 0.6797  0.00
Tm 0.5000 0.5000 0.5000  0.03
Tm 0.0000 0.5000 0.5000  0.03
Tm 0.5000 0.0000 0.5000  0.03
K 0.5000 0.5000 0.0000  0.00
K 0.0000 0.5000 0.0000  0.00
K 0.0000 0.0000 0.0000  0.00
Tc 0.0000 0.0000 0.5000  2.30

Results
- ΔE_f (raw): -2.54 eV/atom

---

Entry 17:
## K2LiTlCl (GGA-PBE)

Data for crystalline K2LiTlCl at its relaxed geometry.

abc: 6.2741 4.7205 6.2741
angles: 90.00 90.00 90.00
Each line ends with the local moment (μB).
Sites, in units of the cell vectors:
K 0.5000 0.0000 0.0000  0.01
K 0.0000 0.0000 0.5000  0.01
Tl 0.5000 0.5000 0.5000  0.06
Li 0.0000 0.5000 0.0000  0.01
Cl 0.0000 0.0000 0.0000  0.01

Results
- ΔE_f (raw): -0.62 eV/atom

---

Entry 18:
## Pu2In4Sn (GGA-PBE)

Data for crystalline Pu2In4Sn at its relaxed geometry.

abc: 10.9108 5.9681 6.6139
angles: 116.82 90.00 90.00
Each line ends with the local moment (μB).
Sites, in units of the cell vectors:
Pu 0.0000 0.6370 0.2739  5.55
Pu 0.0000 0.3630 0.7261  5.55
Pu 0.5000 0.1370 0.2739  5.55
Pu 0.5000 0.8630 0.7261  5.55
In 0.2500 0.7497 0.0000  -0.01
In 0.2500 0.0006 0.5000  0.05
In 0.2500 0.2497 0.0000  -0.01
In 0.2500 0.5006 0.5000  0.05
In 0.7500 0.7503 0.0000  -0.01
In 0.7500 0.9994 0.5000  0.05
In 0.7500 0.2503 0.0000  -0.01
In 0.7500 0.4994 0.5000  0.05
Sn 0.5000 0.5000 0.0000  -0.04
Sn 0.0000 0.0000 0.0000  -0.04

Results
- Energy of formation from the pure elements: -2.4 meV per atom

---

Entry 19:
## PaBeZn (GGA-PBE)

Data for crystalline PaBeZn at its relaxed geometry.

abc: 3.1720 4.3640 4.3640
angles: 120.00 90.00 90.00
Sites, in units of the cell vectors:
Pa 0.6667 0.6667 0.3333
Zn 0.1668 0.0000 0.0000
Be 0.1665 0.3333 0.6667

Results
- E above lowest polymorph: 0 meV/atom
- Energy of formation from the pure elements: 72.2 meV per atom

---

Entry 20:
## HoGeTe (GGA-PBE)

Data for crystalline HoGeTe at its relaxed geometry.

abc: 3.9300 6.7327 7.5747
angles: 105.09 105.04 90.00
Sites, in units of the cell vectors:
Ho 0.9056 0.7861 0.8112
Ho 0.0944 0.2139 0.1888
Ge 0.3001 0.4817 0.6002
Ge 0.6999 0.5183 0.3998
Te 0.5832 0.8459 0.1663
Te 0.4168 0.1541 0.8337

Results
- ΔE_f (raw): -0.68 eV/atom

---

Entry 21:
## BeZn2Pd8 (GGA-PBE)

Data for crystalline BeZn2Pd8 at its relaxed geometry.

abc: 4.3776 5.7076 7.2371
angles: 109.30 107.60 90.00
Sites, in units of the cell vectors:
Pd 0.6479 0.9207 0.2957
Pd 0.3521 0.0793 0.7043
Pd 0.8186 0.7741 0.6372
Pd 0.0177 0.7606 0.0355
Pd 0.6078 0.4151 0.2156
Pd 0.3922 0.5849 0.7844
Pd 0.9823 0.2394 0.9645
Pd 0.1814 0.2259 0.3628
Be 0.5000 0.0000 0.0000
Zn 0.1923 0.6822 0.3846
Zn 0.8077 0.3178 0.6154

Results
- E above lowest polymorph: 0 meV/atom
- Energy of formation from the pure elements: -299.3 meV per atom

---

Entry 22:
## Hg8TeSe5 (GGA-PBE)

Data for crystalline Hg8TeSe5 at its relaxed geometry.

abc: 8.5023 8.5023 8.5023
angles: 60.00 60.00 60.00
Sites, in units of the cell vectors:
Hg 0.3883 0.3883 0.8352
Hg 0.3883 0.3883 0.3883
Hg 0.3883 0.8352 0.3883
Hg 0.8352 0.3883 0.3883
Hg 0.8677 0.8677 0.3968
Hg 0.3968 0.8677 0.8677
Hg 0.8677 0.8677 0.8677
Hg 0.8677 0.3968 0.8677
Se 0.6260 0.1221 0.6260
Se 0.6260 0.6260 0.6260
Se 0.6260 0.6260 0.1221
Se 0.0000 0.0000 0.0000
Se 0.1221 0.6260 0.6260
Te 0.2500 0.2500 0.2500

Results
- ΔE_f (raw): -0.04 eV/atom

---

Entry 23:
## ReIrOs2 (GGA-PBE)

Data for crystalline ReIrOs2 at its relaxed geometry.

abc: 4.3851 4.3851 4.3851
angles: 60.00 60.00 60.00
Sites, in units of the cell vectors:
Re 0.0000 0.0000 0.0000
Os 0.7500 0.7500 0.7500
Os 0.2500 0.2500 0.2500
Ir 0.5000 0.5000 0.5000

Results
- E above lowest polymorph: 731 meV/atom
- Energy of formation from the pure elements: 616.4 meV per atom

---

Entry 24:
## Pm5As4S (GGA-PBE)

Data for crystalline Pm5As4S at its relaxed geometry.

abc: 4.2068 5.9433 11.1164
angles: 105.50 100.91 90.00
Sites, in units of the cell vectors:
Pm 0.3999 0.8999 0.7998
Pm 0.2003 0.7003 0.4006
Pm 0.6001 0.1001 0.2002
Pm 0.7997 0.2997 0.5994
Pm 0.0000 0.5000 0.0000
S 0.0000 0.0000 0.0000
As 0.8018 0.8018 0.6036
As 0.4011 0.4011 0.8022
As 0.1982 0.1982 0.3964
As 0.5989 0.5989 0.1978

Results
- ΔE_f (raw): -1.65 eV/atom

---

Entry 25:
## LiTm2Mo (GGA-PBE)

Data for crystalline LiTm2Mo at its relaxed geometry.

abc: 3.4424 3.4424 7.9854
angles: 90.00 90.00 90.00
Sites, in units of the cell vectors:
Tm 0.0000 0.0000 0.7890
Tm 0.0000 0.0000 0.2110
Li 0.5000 0.5000 0.5000
Mo 0.5000 0.5000 0.0000

Results
- Energy of formation from the pure elements: 183.4 meV per atom

---

no.,E (eV per atom),V (Å³/cell)
1,-3.863,57.6
2,-3.010,153.1
3,-5.124,89.7
4,-2.853,96.0
5,-6.170,91.4
6,-8.416,45.6
7,-11.921,61.0
8,-4.330,105.4
9,-9.338,64.5
10,-4.322,282.2
11,-5.628,296.9
12,-7.169,340.1
13,-4.666,266.1
14,-5.640,203.5
15,-3.760,115.8
16,-6.994,242.2
17,-2.289,185.8
18,-6.234,384.3
19,-4.760,52.3
20,-4.788,186.4
21,-4.646,161.7
22,-1.681,434.6
23,-10.326,59.6
24,-6.301,262.6
25,-5.239,94.6